Record 1
The following is a DFT calculation (PBEsol) of a relaxed BeNiW2 crystal.

## Properties
For the formation energy from the elements, the calculation gives 0.110 eV/atom. As for the total magnetization: 0.000 μB per atom. For the total energy, the calculation gives -0.686 Ry per atom. The density of states at the Fermi level comes out at 3.03 states/eV/cell.

Cell lengths 2.6151, 4.3698, 4.8344 Å; angles 110.08, 105.69, 90.00 degrees
Fractional positions:
Ni1 0.2179 0.7581 0.4357
W1 0.9827 0.9573 0.9653
W2 0.7764 0.3056 0.5528
Be1 0.5231 0.4790 0.0461



Record 2
The following is a DFT calculation (PBEsol) of a relaxed BeNiW2 crystal.

## Properties
For the formation energy from the elements, the calculation gives 0.162 eV/atom. As for the total magnetization: 0.000 μB per atom. For the total energy, the calculation gives -0.682 Ry per atom. The density of states at the Fermi level comes out at 3.18 states/eV/cell.

Cell lengths 3.6032, 3.7498, 3.7498 Å; angles 90.00, 90.00, 90.00 degrees
Fractional positions:
Ni1 0.5000 0.0000 0.0000
W1 0.0000 0.0000 0.5000
W2 0.0000 0.5000 0.0000
Be1 0.5000 0.5000 0.5000



Record 3
The following is a DFT calculation (PBEsol) of a relaxed YBeNi2 crystal.

## Properties
For the formation energy from the elements, the calculation gives -0.379 eV/atom. As for the total magnetization: 0.000 μB per atom. For the total energy, the calculation gives -0.453 Ry per atom. The density of states at the Fermi level comes out at 2.25 states/eV/cell.

Cell lengths 3.8176, 3.8176, 5.1017 Å; angles 68.03, 68.03, 60.00 degrees
Fractional positions:
Y1 0.0000 0.0000 0.0000
Ni1 0.8004 0.8004 0.5987
Ni2 0.1996 0.1996 0.4013
Be1 0.5000 0.5000 0.5000



Record 4
The following is a DFT calculation (PBEsol) of a relaxed YBe3Ni crystal.

## Properties
For the formation energy from the elements, the calculation gives -0.106 eV/atom. As for the total magnetization: 0.000 μB per atom. For the total energy, the calculation gives -0.375 Ry per atom. The density of states at the Fermi level comes out at 3.18 states/eV/cell.

Cell lengths 4.0480, 4.0480, 4.0480 Å; angles 90.00, 90.00, 90.00 degrees
Fractional positions:
Y1 0.5000 0.5000 0.5000
Ni1 0.0000 0.0000 0.0000
Be1 0.0000 0.5000 0.0000
Be2 0.0000 0.0000 0.5000
Be3 0.5000 0.0000 0.0000